1.
SiSbH3: optimized geometry, GGA-PBEsol.

Cell: 3.6743 3.6743 3.6743 Å, 90.00 90.00 90.00°
With the nearest neighbours (Å) after each atom.
Sites, in units of the cell vectors:
Si1 0.0000 0.0000 0.0000  6 H 1.84
Sb1 0.5000 0.5000 0.5000  12 H 2.60
H1 0.0000 0.0000 0.5000  2 Si 1.84
H2 0.0000 0.5000 0.0000  2 Si 1.84
H3 0.5000 0.0000 0.0000  2 Si 1.84

Properties
* DOS(E_F): 1.26 states/eV/cell
* volume: 49.6 Å³ per cell
* total DFT energy (no corrections): -3.47 eV per atom
* offset from the most stable computed form: 0 meV/atom

2.
CsAgN2O: optimized geometry, GGA-PBEsol.

Cell: 4.4509 4.4509 4.3151 Å, 90.00 90.00 90.00°
With the nearest neighbours (Å) after each atom.
Sites, in units of the cell vectors:
Cs1 0.0000 0.0000 0.0000  2 O 2.16, 4 N 2.23
Ag1 0.5000 0.5000 0.5000  8 N 3.10, 4 O 3.15
N1 0.0000 0.5000 0.0000  2 Cs 2.23
N2 0.5000 0.0000 0.0000  2 Cs 2.23
O1 0.0000 0.0000 0.5000  2 Cs 2.16

Properties
* DOS(E_F): 3.67 states/eV/cell
* volume: 85.5 Å³ per cell
* formation energy (no corrections): 2.33 eV/atom
* total DFT energy (no corrections): -2.98 eV per atom

3.
BeInGaSn2: optimized geometry, GGA-PBEsol.

Cell: 5.5303 5.5303 5.0633 Å, 90.00 90.00 90.00°
With the nearest neighbours (Å) after each atom.
Sites, in units of the cell vectors:
Be1 0.0000 0.0000 0.0000  8 Sn 3.75, 4 Ga 3.91
In1 0.5000 0.5000 0.5000  2 Ga 2.53, 4 Sn 2.77
Ga1 0.5000 0.5000 0.0000  2 In 2.53
Sn1 0.0000 0.5000 0.5000  2 In 2.77
Sn2 0.5000 0.0000 0.5000  2 In 2.77

Properties
* DOS(E_F): 2.97 states/eV/cell
* volume: 154.9 Å³ per cell
* total DFT energy (no corrections): -2.65 eV per atom

4.
YMoPt2: optimized geometry, GGA-PBEsol.

Cell: 5.0755 5.0755 5.0755 Å, 133.15 133.15 68.42°
With the nearest neighbours (Å) after each atom.
Sites, in units of the cell vectors:
Y1 0.0000 0.0000 0.0000  8 Pt 2.85-2.91, 4 Mo 2.91
Mo1 0.2500 0.7500 0.5000  8 Pt 2.85-2.91, 4 Y 2.91
Pt1 0.5000 0.5000 0.0000  4 Y 2.85, 4 Mo 2.91, 4 Pt 2.91
Pt2 0.7500 0.2500 0.5000  4 Mo 2.85, 4 Pt 2.91, 4 Y 2.91

Properties
* DOS(E_F): 3.96 states/eV/cell
* volume: 68.4 Å³ per cell
* total DFT energy (no corrections): -8.43 eV per atom
* offset from the most stable computed form: 13 meV/atom

5.
BaTlMo3: optimized geometry, GGA-PBEsol.

Cell: 5.1017 5.1017 5.1017 Å, 90.00 90.00 90.00°
With the nearest neighbours (Å) after each atom.
Sites, in units of the cell vectors:
Ba1 0.0000 0.0000 0.0000  12 Mo 3.61
Tl1 0.5000 0.5000 0.5000  6 Mo 2.55
Mo1 0.0000 0.5000 0.5000  2 Tl 2.55
Mo2 0.5000 0.0000 0.5000  2 Tl 2.55
Mo3 0.5000 0.5000 0.0000  2 Tl 2.55

Properties
* DOS(E_F): 8.96 states/eV/cell
* volume: 132.8 Å³ per cell
* total DFT energy (no corrections): -5.65 eV per atom
* offset from the most stable computed form: 0 meV/atom

6.
CrPt5: optimized geometry, GGA-PBEsol.

Cell: 4.5436 7.1764 7.1764 Å, 21.97 90.00 90.00°
With the nearest neighbours (Å) after each atom.
Sites, in units of the cell vectors:
Cr1 0.0000 0.0000 0.0000  10 Pt 2.62-2.76, 2 Cr 2.73
Pt1 0.0000 0.3413 0.3413  2 Cr 2.62, 10 Pt 2.73-2.90
Pt2 0.0000 0.6601 0.6601  2 Cr 2.64, 10 Pt 2.72-2.90
Pt3 0.5000 0.2220 0.2220  12 Pt 2.72-2.83
Pt4 0.5000 0.5535 0.5535  8 Pt 2.69-2.74, 4 Cr 2.76
Pt5 0.5000 0.8890 0.8890  10 Pt 2.69-2.74, 2 Cr 2.76

Properties
* DOS(E_F): 9.44 states/eV/cell
* volume: 87.5 Å³ per cell
* total DFT energy (no corrections): -7.56 eV per atom

7.
BaLaAl2: optimized geometry, GGA-PBEsol.

Cell: 5.5683 5.5683 6.2751 Å, 114.02 114.02 49.92°
With the nearest neighbours (Å) after each atom.
Sites, in units of the cell vectors:
Ba1 0.0000 0.0000 0.0000  6 Al 3.54-3.55, 4 La 3.92
La1 0.5000 0.5000 0.5000  6 Al 3.09-3.18
Al1 0.2349 0.2349 0.6214  2 Al 2.89, 3 La 3.09-3.18
Al2 0.7651 0.7651 0.3786  2 Al 2.89, 3 La 3.09-3.18

Properties
* DOS(E_F): 3.66 states/eV/cell
* volume: 133.0 Å³ per cell
* total DFT energy (no corrections): -3.95 eV per atom
* offset from the most stable computed form: 142 meV/atom

8.
FeCu2Se: optimized geometry, GGA-PBEsol.

Cell: 4.8316 4.8316 4.8316 Å, 137.39 137.39 61.83°
With the nearest neighbours (Å) after each atom.
Sites, in units of the cell vectors:
Fe1 0.0000 0.0000 0.0000  4 Se 2.48, 8 Cu 2.72
Cu1 0.2500 0.7500 0.5000  4 Cu 2.48, 4 Fe 2.72, 4 Se 2.72
Cu2 0.7500 0.2500 0.5000  4 Cu 2.48, 4 Fe 2.72, 4 Se 2.72
Se1 0.5000 0.5000 0.0000  4 Fe 2.48, 8 Cu 2.72

Properties
* DOS(E_F): 3.67 states/eV/cell
* volume: 51.1 Å³ per cell
* formation energy (no corrections): 0.27 eV/atom
* total DFT energy (no corrections): -5.10 eV per atom

The lowest total DFT energy (no corrections) belongs to which entry?
YMoPt2

What is the volume in the fourth record?
68.4 Å³ per cell

Which value of volume does entry 1 give?
49.6 Å³ per cell